Computed, not measured: a relaxed structure of NaAlB at the PBE level of DFT.

For the calculated formation energy, the calculation gives 0.08 eV per atom. For the uncorrected energy, the calculation gives -3.83 eV/atom.

Cell: 3.0955 3.0955 34.8480 Å, 90.00 90.00 120.00°
Space group R3m (No. 160, hexagonal axes)
Unique sites:
Na1 0.0000 0.0000 0.0000 x3
Na2 0.0000 0.0000 0.2416 x3
Al1 0.0000 0.0000 0.1017 x3
Al2 0.0000 0.0000 0.4983 x3
B1 0.0000 0.0000 0.3938 x3
B2 0.0000 0.0000 0.7271 x3